A plane-wave DFT calculation with PBE-GGA was carried out for a relaxed Y2MnBe2 crystal.

a = 6.5550 Å, b = 6.5550 Å, c = 4.1317 Å
α = 90.00°, β = 90.00°, γ = 90.00°
Element x y z (fractional)
Y  0.1854  0.6854  0.5000
Be  0.6210  0.1210  0.0000
Be  0.8790  0.6210  0.0000
Be  0.1210  0.3790  0.0000
Y  0.8146  0.3146  0.5000
Y  0.3146  0.1854  0.5000
Mn  0.5000  0.5000  0.0000
Y  0.6854  0.8146  0.5000
Mn  0.0000  0.0000  0.0000
Be  0.3790  0.8790  0.0000

Summary:
D(E_F)	9.44	states/eV/f.u.
SG	P4/mbm, No. 127
raw total energy	-55.57	eV per cell